Record 1
The following is a SCAN calculation of a PBEsol-optimized structure of MoAsPt, from Alexandria.

```
MoAsPt
1.0
-1.540 1.540 4.809
1.540 -1.540 4.809
1.540 1.540 -4.809
Mo As Pt
1 1 1
Cartesian
0.000 0.000 0.000 Mo
0.000 0.000 3.461 As
0.000 0.000 6.584 Pt
```

The energy relative to the elements comes out at -14 meV/atom. The calculation puts the total magnetization at 0.00 μB per formula unit. As for the space group: No. 107.

=====

Record 2
The following is a SCAN calculation of a PBEsol-optimized structure of MoAsPt2, from Alexandria.

```
MoAsPt2
1.0
-1.592 2.118 4.465
1.592 -2.118 4.465
1.592 2.118 -4.465
Mo As Pt
1 1 2
Cartesian
0.000 0.000 0.000 Mo
0.000 0.000 4.465 As
1.592 0.000 2.429 Pt
0.000 2.118 2.036 Pt
```

The energy relative to the elements comes out at -87 meV/atom. The calculation puts the total magnetization at 0.00 μB per formula unit. As for the space group: No. 71.

=====

Record 3
The following is a SCAN calculation of a PBEsol-optimized structure of MoAs3Pt, from Alexandria.

```
MoAs3Pt
1.0
4.785 0.000 0.000
0.000 4.785 0.000
0.000 0.000 4.785
Mo As Pt
1 3 1
Cartesian
0.000 0.000 0.000 Mo
0.000 2.393 2.393 As
2.393 0.000 2.393 As
2.393 2.393 0.000 As
2.393 2.393 2.393 Pt
```

The energy relative to the elements comes out at 968 meV/atom. The calculation puts the total magnetization at 2.43 μB per formula unit. As for the space group: No. 221.

=====

Record 4
The following is a SCAN calculation of a PBEsol-optimized structure of MoAsPt2, from Alexandria.

```
MoAsPt2
1.0
1.424 0.822 8.677
-1.424 0.822 8.677
0.000 -1.644 8.677
Mo As Pt
1 1 2
Cartesian
0.000 0.000 0.000 Mo
0.000 0.000 6.539 As
0.000 0.000 13.129 Pt
0.000 0.000 19.461 Pt
```

The energy relative to the elements comes out at 17 meV/atom. The calculation puts the total magnetization at 0.00 μB per formula unit. As for the space group: No. 160.

=====

Record 5
The following is a SCAN calculation of a PBEsol-optimized structure of MoAs2Pt, from Alexandria.

```
MoAs2Pt
1.0
1.761 -2.325 0.000
1.761 2.325 0.000
0.000 0.000 7.813
Mo As Pt
1 2 1
Cartesian
0.000 0.000 0.000 Mo
1.761 0.000 1.903 As
1.761 0.000 5.910 As
0.000 0.000 3.906 Pt
```

The energy relative to the elements comes out at 296 meV/atom. The calculation puts the total magnetization at 0.00 μB per formula unit. As for the space group: No. 65.

=====

Record 6
The following is a SCAN calculation of a PBEsol-optimized structure of Re2MoAs, from Alexandria.

```
Re2MoAs
1.0
1.509 -2.278 0.000
1.509 2.278 0.000
0.000 0.000 8.880
Re Mo As
2 1 1
Cartesian
0.000 0.000 2.155 Re
0.000 0.000 6.725 Re
1.509 0.000 0.000 Mo
1.509 0.000 4.440 As
```

The energy relative to the elements comes out at 460 meV/atom. The calculation puts the total magnetization at 0.00 μB per formula unit. As for the space group: No. 65.